CoAsPdO | PBE with a Hubbard U | optimized geometry

```
8
Lattice="-2.128 1.482 -1.712 2.604 -2.297 -5.225 -3.731 -4.979 0.329" Properties=species:S:1:pos:R:3 pbc="T T T"
As -0.610 -2.507 -1.412
As -1.399 -5.946 -3.407
Co -0.059 -3.906 -3.308
Co -2.774 -5.646 -1.438
O -0.306 -2.776 -4.843
O -3.654 -3.958 -1.703
Pd 1.207 -1.781 -5.863
Pd -3.066 -2.148 -0.868
```

Properties
Mass density in g cm⁻³: 7.007
Distance to the lowest polymorph of the same formula in meV/atom: 214
Crystal system: orthorhombic
Symmetry: Pmc2_1 (26)
Magnetic moment in μB per atom: 0.564